Density functional theory data (GGA-PBEsol) for a geometry-optimized La2BiCl2 structure.

Calculated values
uncorrected formation energy = -1.620 eV/atom

abc: 4.3535 4.3535 7.9356
angles: 105.92 105.92 90.00
Closest atoms and distances in Å follow each position.
Element x y z (fractional)
La1 0.6187 0.6187 0.2375  4 Cl 2.90
La2 0.3813 0.3813 0.7625  4 Cl 2.90
Cl1 0.2500 0.7500 0.5000  4 La 2.90, 4 Cl 3.08
Cl2 0.7500 0.2500 0.5000  4 La 2.90, 4 Cl 3.08
Bi1 0.0000 0.0000 0.0000  8 La 3.53

Density functional theory data (GGA-PBEsol) for a geometry-optimized ZrMnSi2 structure.

Calculated values
uncorrected formation energy = -0.769 eV/atom

abc: 5.0951 7.8155 9.7230
angles: 113.70 105.19 90.00
Closest atoms and distances in Å follow each position.
Element x y z (fractional)
Si1 0.3631 0.7127 0.7261  1 Si 2.35, 3 Mn 2.44-2.46
Si2 0.3631 0.0134 0.7261  1 Si 2.35, 3 Mn 2.44-2.46
Si3 0.2465 0.0000 0.0000  2 Mn 2.33, 2 Si 2.51-2.58
Si4 0.7988 0.7988 0.5976  4 Mn 2.48, 3 Zr 2.68-2.73
Si5 0.7533 0.5000 0.0000  2 Mn 2.35, 2 Si 2.51-2.58
Si6 0.2129 0.7129 0.4259  4 Mn 2.42
Si7 0.2467 0.5000 0.0000  2 Mn 2.35, 2 Si 2.51-2.58
Si8 0.7871 0.2871 0.5741  4 Mn 2.42
Si9 0.7535 0.0000 0.0000  2 Mn 2.33, 2 Si 2.51-2.58
Si10 0.2012 0.2012 0.4024  4 Mn 2.48, 3 Zr 2.68-2.73
Si11 0.6369 0.2873 0.2739  1 Si 2.35, 3 Mn 2.44-2.46
Si12 0.6369 0.9866 0.2739  1 Si 2.35, 3 Mn 2.44-2.46
Mn1 0.0000 0.0000 0.5000  6 Si 2.42-2.48, 2 Mn 2.55
Mn2 0.0000 0.5000 0.5000  6 Si 2.42-2.48, 2 Mn 2.55
Mn3 0.5000 0.5000 0.5000  6 Si 2.42-2.48, 2 Mn 2.55
Mn4 0.5000 0.2483 0.0000  6 Si 2.33-2.46
Mn5 0.5000 0.0000 0.5000  6 Si 2.42-2.48, 2 Mn 2.55
Mn6 0.5000 0.7517 0.0000  6 Si 2.33-2.46
Zr1 0.6416 0.6416 0.2833  7 Si 2.68-2.82, 4 Mn 2.98
Zr2 0.0947 0.8345 0.1895  8 Si 2.73-2.89, 4 Mn 2.94-3.02
Zr3 0.9053 0.6450 0.8105  8 Si 2.73-2.89, 4 Mn 2.94-3.02
Zr4 0.3584 0.3584 0.7167  7 Si 2.68-2.82, 4 Mn 2.98
Zr5 0.9053 0.1655 0.8105  8 Si 2.73-2.89, 4 Mn 2.94-3.02
Zr6 0.0947 0.3550 0.1895  8 Si 2.73-2.89, 4 Mn 2.94-3.02

Density functional theory data (GGA-PBEsol) for a geometry-optimized Y2CdGe2 structure.

Calculated values
calculated formation energy = -0.81 eV/atom

abc: 4.1457 7.2060 7.2060
angles: 90.00 90.00 90.00
Closest atoms and distances in Å follow each position.
Element x y z (fractional)
Cd1 0.0000 0.0000 0.0000  4 Ge 2.86
Cd2 0.0000 0.5000 0.5000  4 Ge 2.86
Ge1 0.0000 0.6222 0.1222  1 Ge 2.49
Ge2 0.0000 0.3778 0.8778  1 Ge 2.49
Ge3 0.0000 0.8778 0.6222  1 Ge 2.49
Ge4 0.0000 0.1222 0.3778  1 Ge 2.49
Y1 0.5000 0.1778 0.6778  6 Ge 2.91-3.02
Y2 0.5000 0.3222 0.1778  6 Ge 2.91-3.02
Y3 0.5000 0.6778 0.8222  6 Ge 2.91-3.02
Y4 0.5000 0.8222 0.3222  6 Ge 2.91-3.02

no.,raw total energy (eV for the cell shown),calculated volume (Å³ per atom)
1,-27.10,27.7
2,-200.52,14.2
3,-57.52,21.5